Computed, not measured: SrReBiPt2 after structural relaxation at the PBE-GGA level of DFT.

Cell lengths 5.1306, 5.1306, 6.0846 Å; angles 90.00, 90.00, 90.00 degrees
Closest atoms and distances in Å follow each position.
Fractional coordinates of all 5 atoms:
Sr 0.0000 0.0000 0.0000  2 Bi 3.04
Re 0.5000 0.5000 0.0000  4 Sr 3.63, 8 Pt 3.98
Bi 0.0000 0.0000 0.5000  4 Pt 2.57
Pt 0.0000 0.5000 0.5000  2 Bi 2.57
Pt 0.5000 0.0000 0.5000  2 Bi 2.57

Calculated values
As for the calculated formation energy: 1.593 eV per atom. The total magnetization comes out at 4.71 μB/cell. The total energy comes out at -4.426 eV per atom.